Entry from Alexandria via LeMat-Bulk: a relaxed TlCu2NiO crystal (PBE+U).

Lattice parameters (Å, degrees): 4.8930 4.8930 4.9837 90.00 90.00 90.00
With the nearest neighbours (Å) after each atom.
Space group P4/mmm (No. 123)
One atom of each set of equivalent atoms:
Tl: 0.0000 0.0000 0.0000 [1 per cell]  4 Cu 2.45, 2 Ni 2.49
Cu: 0.0000 0.5000 0.0000 [2 per cell]  2 Tl 2.45
Ni: 0.0000 0.0000 0.5000 [1 per cell]  2 Tl 2.49
O: 0.5000 0.5000 0.5000 [1 per cell]  4 Ni 3.46, 8 Cu 3.49

Calculated values
N(E_F)	3.342	states/eV/f.u.
V	23.9	A^3/atom
final energy	-0.1581	Ry/atom